# 1
La6Ru2I3F after structural relaxation. Source: Alexandria via LeMat-Bulk, functional PBE-GGA.

The structure in extended XYZ format:
```
12
Lattice="3.610 -6.256 0.000 3.610 6.256 0.000 -2.404 0.000 8.277" Properties=species:S:1:pos:R:3 pbc="T T T"
La -0.033 2.144 6.738
La 1.135 0.000 1.537
La -0.033 -2.144 6.738
La 4.850 2.144 1.539
La 3.681 0.000 6.740
La 4.850 -2.144 1.539
Ru 3.610 4.173 0.000
Ru 3.610 -4.173 0.000
I -1.202 0.000 4.138
I 2.408 2.113 4.138
I 2.408 -2.113 4.138
F 3.610 0.000 0.000
```

Summary:
Energy relative to the elements, uncorrected, eV/atom: -1.147



# 2
TaZnCuPt after structural relaxation. Source: Alexandria via LeMat-Bulk, functional PBE-GGA.

The structure in extended XYZ format:
```
16
Lattice="6.224 0.000 0.000 0.000 6.224 0.000 0.000 0.000 6.224" Properties=species:S:1:pos:R:3 pbc="T T T"
Ta 0.000 0.000 0.000
Ta 0.000 3.112 3.112
Ta 3.112 0.000 3.112
Ta 3.112 3.112 0.000
Zn 0.000 0.000 3.112
Zn 0.000 3.112 0.000
Zn 3.112 0.000 0.000
Zn 3.112 3.112 3.112
Cu 1.556 1.556 1.556
Cu 1.556 4.668 4.668
Cu 4.668 1.556 4.668
Cu 4.668 4.668 1.556
Pt 1.556 1.556 4.668
Pt 1.556 4.668 1.556
Pt 4.668 1.556 1.556
Pt 4.668 4.668 4.668
```

Summary:
DFT formation energy, meV/atom: -306



# 3
Ir2PtCl after structural relaxation. Source: Alexandria via LeMat-Bulk, functional PBE-GGA.

The structure in extended XYZ format:
```
8
Lattice="5.912 0.000 0.000 0.000 7.541 0.000 0.000 0.000 2.776" Properties=species:S:1:pos:R:3 pbc="T T T"
Ir 1.478 1.885 0.000
Ir 1.478 5.656 0.000
Ir 4.434 1.885 0.000
Ir 4.434 5.656 0.000
Pt 0.000 0.000 1.388
Pt 2.956 3.770 1.388
Cl 0.000 3.770 1.388
Cl 2.956 0.000 1.388
```

Summary:
Excess energy over the best structure of this formula in the dataset, meV/atom: 537
Energy relative to the elements, uncorrected, eV/atom: 0.880



# 4
YCoIr2Cl after structural relaxation. Source: Alexandria via LeMat-Bulk, functional PBE-GGA.

The structure in extended XYZ format:
```
5
Lattice="4.613 0.000 0.000 0.000 4.613 0.000 0.000 0.000 4.107" Properties=species:S:1:pos:R:3 pbc="T T T"
Y 0.000 0.000 0.000
Co 2.307 2.307 0.000
Ir 0.000 2.307 2.053
Ir 2.307 0.000 2.053
Cl 2.307 2.307 2.053
```

Summary:
Energy relative to the elements, uncorrected, eV/atom: 0.517



# 5
La2PmH after structural relaxation. Source: Alexandria via LeMat-Bulk, functional PBE-GGA.

The structure in extended XYZ format:
```
12
Lattice="3.773 0.000 0.000 -1.886 3.268 0.000 0.000 0.000 26.909" Properties=species:S:1:pos:R:3 pbc="T T T"
La 0.000 0.000 5.984
La 0.000 0.000 20.926
La 0.000 2.178 11.956
La 0.000 2.178 23.923
La 1.886 1.089 2.986
La 1.886 1.089 14.954
Pm 0.000 0.000 0.000
Pm 0.000 2.178 17.940
Pm 1.886 1.089 8.970
H 0.000 0.000 13.455
H 0.000 2.178 4.485
H 1.886 1.089 22.424
```

Summary:
Excess energy over the best structure of this formula in the dataset, meV/atom: 4



# 6
Ga4Ge2Ru after structural relaxation. Source: Alexandria via LeMat-Bulk, functional PBE-GGA.

The structure in extended XYZ format:
```
14
Lattice="4.818 0.000 0.000 0.000 4.818 0.000 0.000 0.000 13.308" Properties=species:S:1:pos:R:3 pbc="T T T"
Ga 0.000 0.000 2.442
Ga 0.000 0.000 10.866
Ga 0.000 2.409 0.000
Ga 0.000 2.409 6.654
Ga 2.409 0.000 0.000
Ga 2.409 0.000 6.654
Ga 2.409 2.409 4.212
Ga 2.409 2.409 9.095
Ge 0.000 0.000 4.964
Ge 0.000 0.000 8.344
Ge 2.409 2.409 1.690
Ge 2.409 2.409 11.618
Ru 0.000 0.000 0.000
Ru 2.409 2.409 6.654
```

Summary:
DFT formation energy, meV/atom: 274



# 7
RbEu2 after structural relaxation. Source: Alexandria via LeMat-Bulk, functional PBE-GGA.

The structure in extended XYZ format:
```
6
Lattice="0.000 5.583 5.583 5.583 0.000 5.583 5.583 5.583 0.000" Properties=species:S:1:pos:R:3 pbc="T T T"
Rb 1.396 1.396 1.396
Rb 9.771 9.771 9.771
Eu 5.583 2.792 2.792
Eu 2.792 5.583 2.792
Eu 2.792 2.792 5.583
Eu 5.583 5.583 5.583
```

Summary:
DFT formation energy, meV/atom: 242



# 8
Er5Tm4Mg after structural relaxation. Source: Alexandria via LeMat-Bulk, functional PBE-GGA.

The structure in extended XYZ format:
```
10
Lattice="-5.017 5.017 3.080 5.017 -5.017 3.080 5.017 5.017 -3.080" Properties=species:S:1:pos:R:3 pbc="T T T"
Er 0.000 0.000 0.000
Er 3.576 2.742 1.216
Er 2.275 -1.440 4.295
Er 2.742 6.457 1.216
Er 1.440 2.275 4.295
Tm 3.447 -0.436 1.235
Tm 6.586 0.436 1.235
Tm 0.436 3.447 1.235
Tm -0.436 6.586 1.235
Mg 0.000 0.000 2.833
```

Summary:
Excess energy over the best structure of this formula in the dataset, meV/atom: 286
DFT formation energy, meV/atom: 293



# 9
PmDyCdRh after structural relaxation. Source: Alexandria via LeMat-Bulk, functional PBE-GGA.

The structure in extended XYZ format:
```
16
Lattice="7.243 0.000 0.000 0.000 7.243 0.000 0.000 0.000 7.243" Properties=species:S:1:pos:R:3 pbc="T T T"
Pm 0.000 0.000 0.000
Pm 0.000 3.621 3.621
Pm 3.621 0.000 3.621
Pm 3.621 3.621 0.000
Dy 0.000 0.000 3.621
Dy 0.000 3.621 0.000
Dy 3.621 0.000 0.000
Dy 3.621 3.621 3.621
Cd 1.811 1.811 5.432
Cd 1.811 5.432 1.811
Cd 5.432 1.811 1.811
Cd 5.432 5.432 5.432
Rh 1.811 1.811 1.811
Rh 1.811 5.432 5.432
Rh 5.432 1.811 5.432
Rh 5.432 5.432 1.811
```

Summary:
DFT formation energy, meV/atom: -485



# 10
LiTi2Zn2P2O10 after structural relaxation. Source: Alexandria via LeMat-Bulk, functional PBE-GGA.

The structure in extended XYZ format:
```
17
Lattice="5.391 0.000 0.000 -0.519 5.773 0.000 -2.164 -2.342 6.478" Properties=species:S:1:pos:R:3 pbc="T T T"
Li 0.000 0.000 0.000
Ti 2.448 4.592 0.623
Ti 1.511 3.507 3.690
Zn 1.043 0.569 2.689
Zn 2.427 0.742 5.467
P -0.552 -0.612 5.461
P 4.012 1.853 2.074
O -0.089 2.171 2.915
O -0.878 0.789 6.074
O 1.785 0.620 0.036
O 0.724 -0.538 4.564
O 1.276 4.710 2.162
O 1.494 2.456 5.446
O 2.753 1.846 2.999
O 3.822 2.911 0.959
O 4.276 0.436 1.486
O 3.493 -0.921 4.688
```

Summary:
Excess energy over the best structure of this formula in the dataset, meV/atom: 4
Energy relative to the elements, uncorrected, eV/atom: -2.100



# 11
CoAs after structural relaxation. Source: Alexandria via LeMat-Bulk, functional PBE-GGA.

The structure in extended XYZ format:
```
8
Lattice="7.071 0.000 0.000 0.000 7.071 0.000 0.000 0.000 2.795" Properties=species:S:1:pos:R:3 pbc="T T T"
Co 0.920 0.920 0.000
Co 2.616 4.456 1.398
Co 4.456 2.616 1.398
Co 6.151 6.151 0.000
As 1.348 5.723 0.000
As 2.187 2.187 1.398
As 4.884 4.884 1.398
As 5.723 1.348 0.000
```

Summary:
DFT formation energy, meV/atom: 18



# 12
ScPaAsN after structural relaxation. Source: Alexandria via LeMat-Bulk, functional PBE-GGA.

The structure in extended XYZ format:
```
8
Lattice="4.030 0.000 0.000 0.000 4.030 0.000 0.000 0.000 8.955" Properties=species:S:1:pos:R:3 pbc="T T T"
Sc 1.007 3.022 0.000
Sc 3.022 1.007 0.000
Pa 1.007 1.007 3.329
Pa 3.022 3.022 5.626
As 1.007 1.007 7.090
As 3.022 3.022 1.865
N 1.007 3.022 4.478
N 3.022 1.007 4.478
```

Summary:
Energy relative to the elements, uncorrected, eV/atom: -1.309



- Number 8 is which compound?
  Er5Tm4Mg